# 1
Compound: NpTl2I4O2
Source: the Alexandria database
Functional: PBE
Structure: optimized geometry

Lattice parameters (Å, degrees): 12.7966 8.4804 6.2059 90.00 92.79 90.00
Space group C2/m (No. 12)
Symmetry-distinct sites (fractional):
Np 0.0000 0.0000 0.0000 x2
Tl 0.1548 0.5000 0.7819 x4
I 0.1245 0.2580 0.2448 x8
O 0.0965 0.0000 0.8031 x4

Computed properties:
Uncorrected energy in eV/cell: -90.0

# 2
Compound: Pr8In2Ag
Source: the Alexandria database
Functional: PBE
Structure: optimized geometry

Lattice parameters (Å, degrees): 19.5331 5.3660 7.0473 90.00 104.15 90.00
Space group C2/m (No. 12)
Symmetry-distinct sites (fractional):
Pr 0.0154 0.0000 0.2702 x4
Pr 0.0932 0.5000 0.9667 x4
Pr 0.1548 0.5000 0.4754 x4
Pr 0.2070 0.0000 0.7979 x4
In 0.1831 0.0000 0.2420 x4
Ag 0.0000 0.5000 0.5000 x2

Computed properties:
Uncorrected energy in eV/cell: -97.4
Polymorph energy (0 for the lowest one) in eV/atom: 0.014

# 3
Compound: Ti2PdPt
Source: the Alexandria database
Functional: PBE
Structure: optimized geometry

Lattice parameters (Å, degrees): 7.0437 7.0437 5.4600 90.00 90.00 90.00
Space group I-42d (No. 122)
Symmetry-distinct sites (fractional):
Ti 0.2465 0.2500 0.1250 x8
Pd 0.0000 0.0000 0.5000 x4
Pt 0.0000 0.0000 0.0000 x4

Computed properties:
Uncorrected energy in eV/cell: -113.6

# 4
Compound: Ti2HPdPt
Source: the Alexandria database
Functional: PBE
Structure: optimized geometry

Lattice parameters (Å, degrees): 4.0165 4.0165 3.9570 90.00 90.00 90.00
Space group P4/mmm (No. 123)
Symmetry-distinct sites (fractional):
Ti 0.0000 0.5000 0.0000 x2
H 0.0000 0.0000 0.0000 x1
Pd 0.0000 0.0000 0.5000 x1
Pt 0.5000 0.5000 0.5000 x1

Computed properties:
Uncorrected energy in eV/cell: -33.4
Polymorph energy (0 for the lowest one) in eV/atom: 0.000

# 5
Compound: Zr3Cu
Source: the Alexandria database
Functional: PBE
Structure: optimized geometry

Lattice parameters (Å, degrees): 7.0372 7.0559 3.2780 90.00 90.00 90.00
Space group Cmmm (No. 65)
Symmetry-distinct sites (fractional):
Zr 0.0000 0.0000 0.0000 x2
Zr 0.2500 0.2500 0.5000 x4
Cu 0.0000 0.5000 0.0000 x2

Computed properties:
Uncorrected energy in eV/cell: -58.8

# 6
Compound: HfHg2Br
Source: the Alexandria database
Functional: PBE
Structure: optimized geometry

Lattice parameters (Å, degrees): 9.4694 9.4694 5.2482 90.00 90.00 90.00
Space group I-42d (No. 122)
Symmetry-distinct sites (fractional):
Hf 0.0000 0.0000 0.0000 x4
Hg 0.1630 0.7500 0.1250 x8
Br 0.0000 0.0000 0.5000 x4

Computed properties:
Uncorrected energy in eV/cell: -47.3
Polymorph energy (0 for the lowest one) in eV/atom: 0.000

# 7
Compound: CuBSCl2
Source: the Alexandria database
Functional: PBE
Structure: optimized geometry

Lattice parameters (Å, degrees): 4.6797 4.6797 4.5988 90.00 90.00 90.00
Space group P4/mmm (No. 123)
Symmetry-distinct sites (fractional):
Cu 0.0000 0.0000 0.0000 x1
B 0.5000 0.5000 0.5000 x1
S 0.0000 0.0000 0.5000 x1
Cl 0.0000 0.5000 0.0000 x2

Computed properties:
Uncorrected energy in eV/cell: -13.9
Polymorph energy (0 for the lowest one) in eV/atom: 0.364

# 8
Compound: Sc3AgO
Source: the Alexandria database
Functional: PBE
Structure: optimized geometry

Lattice parameters (Å, degrees): 5.1780 12.5225 6.0672 90.00 90.00 90.00
Space group Pnma (No. 62)
Symmetry-distinct sites (fractional):
Sc 0.0114 0.1194 0.0935 x8
Sc 0.0310 0.2500 0.5619 x4
Ag 0.0000 0.0000 0.5000 x4
O 0.0527 0.7500 0.1070 x4

Computed properties:
Uncorrected energy in eV/cell: -131.1
Polymorph energy (0 for the lowest one) in eV/atom: 0.173

# 9
Compound: SrAs2
Source: the Alexandria database
Functional: PBE
Structure: optimized geometry

Lattice parameters (Å, degrees): 4.5639 4.5639 4.4362 90.00 90.00 120.00
Space group P-3m1 (No. 164)
Symmetry-distinct sites (fractional):
Sr 0.0000 0.0000 0.0000 x1
As 0.3333 0.6667 0.5484 x2

Computed properties:
Uncorrected energy in eV/cell: -13.0

# 10
Compound: AgHF3
Source: the Alexandria database
Functional: PBE
Structure: optimized geometry

Lattice parameters (Å, degrees): 4.8647 4.8647 16.8218 90.00 90.00 120.00
Space group R-3c (No. 167, hexagonal axes)
Symmetry-distinct sites (fractional):
Ag 0.0000 0.0000 0.0000 x6
H 0.0000 0.0000 0.2500 x6
F 0.0000 0.2804 0.2500 x18

Computed properties:
Uncorrected energy in eV/cell: -104.7
Polymorph energy (0 for the lowest one) in eV/atom: 0.113

# 11
Compound: TlIn2Sb
Source: the Alexandria database
Functional: PBE
Structure: optimized geometry

Lattice parameters (Å, degrees): 7.1382 7.1382 12.1005 90.00 90.00 90.00
Space group I-42d (No. 122)
Symmetry-distinct sites (fractional):
Tl 0.0000 0.0000 0.0000 x4
In 0.2380 0.2500 0.6250 x8
Sb 0.0000 0.0000 0.5000 x4

Computed properties:
Uncorrected energy in eV/cell: -45.3
Polymorph energy (0 for the lowest one) in eV/atom: 0.140

# 12
Compound: Tl2V2Br7
Source: the Alexandria database
Functional: PBE
Structure: optimized geometry

Lattice parameters (Å, degrees): 10.5570 12.9724 6.8546 90.00 100.28 90.00
Space group C2/m (No. 12)
Symmetry-distinct sites (fractional):
Tl 0.0000 0.2023 0.0000 x4
V 0.2240 0.5000 0.4240 x4
Br 0.0000 0.5000 0.5000 x2
Br 0.1207 0.0000 0.2694 x4
Br 0.2501 0.1550 0.7617 x8

Computed properties:
Uncorrected energy in eV/cell: -85.7

# 13
Compound: FeHg2As
Source: the Alexandria database
Functional: PBE
Structure: optimized geometry

Lattice parameters (Å, degrees): 14.9492 2.8384 3.9070 90.00 105.05 90.00
Space group C2/m (No. 12)
Symmetry-distinct sites (fractional):
Fe 0.0000 0.0000 0.0000 x2
Hg 0.1771 0.5000 0.1767 x4
As 0.0000 0.5000 0.5000 x2

Computed properties:
Uncorrected energy in eV/cell: -25.7

# 14
Compound: PmDy3Rh8
Source: the Alexandria database
Functional: PBE
Structure: optimized geometry

Lattice parameters (Å, degrees): 5.3486 5.3486 8.7584 90.00 90.00 120.00
Space group P3m1 (No. 156)
Symmetry-distinct sites (fractional):
Pm 0.0000 0.0000 0.0000 x1
Dy 0.0000 0.0000 0.3667 x1
Dy 0.6667 0.3333 0.4987 x1
Dy 0.6667 0.3333 0.8643 x1
Rh 0.1647 0.3294 0.6808 x3
Rh 0.3333 0.6667 0.4326 x1
Rh 0.3333 0.6667 0.9320 x1
Rh 0.5021 0.0042 0.1849 x3

Computed properties:
Uncorrected energy in eV/cell: -85.8

# 15
Compound: LiAc3Pm4Se8
Source: the Alexandria database
Functional: PBE
Structure: optimized geometry

Lattice parameters (Å, degrees): 8.5513 8.5513 21.2312 90.00 90.00 120.00
Space group R-3m (No. 166, hexagonal axes)
Symmetry-distinct sites (fractional):
Li 0.0000 0.0000 0.0000 x3
Ac 0.0000 0.5000 0.0000 x9
Pm 0.0000 0.0000 0.5000 x3
Pm 0.0000 0.5000 0.5000 x9
Se 0.0000 0.0000 0.2442 x6
Se 0.0127 0.5064 0.7525 x18

Computed properties:
Uncorrected energy in eV/cell: -269.5

# 16
Compound: UBr2F
Source: the Alexandria database
Functional: PBE
Structure: optimized geometry

Lattice parameters (Å, degrees): 7.2426 4.1994 7.9639 90.00 107.08 90.00
Space group Cm (No. 8)
Symmetry-distinct sites (fractional):
U 0.0000 0.0000 0.0000 x2
Br 0.2538 0.0000 0.7431 x2
Br 0.4185 0.0000 0.2582 x2
F 0.1693 0.5000 0.0005 x2

Computed properties:
Uncorrected energy in eV/cell: -49.0

# 17
Compound: Tc3NCl
Source: the Alexandria database
Functional: PBE
Structure: optimized geometry

Lattice parameters (Å, degrees): 4.1165 4.1165 4.1165 90.00 90.00 90.00
Space group Pm-3m (No. 221)
Symmetry-distinct sites (fractional):
Tc 0.0000 0.0000 0.5000 x3
N 0.0000 0.0000 0.0000 x1
Cl 0.5000 0.5000 0.5000 x1

Computed properties:
Uncorrected energy in eV/cell: -37.3
Polymorph energy (0 for the lowest one) in eV/atom: 0.000

# 18
Compound: ZnCuBiN2
Source: the Alexandria database
Functional: PBE
Structure: optimized geometry

Lattice parameters (Å, degrees): 4.2900 4.2900 6.0344 90.00 90.00 90.00
Space group P4/mmm (No. 123)
Symmetry-distinct sites (fractional):
Zn 0.0000 0.0000 0.0000 x1
Cu 0.5000 0.5000 0.0000 x1
Bi 0.0000 0.0000 0.5000 x1
N 0.0000 0.5000 0.5000 x2

Computed properties:
Uncorrected energy in eV/cell: -16.4

# 19
Compound: Pb2Au3
Source: the Alexandria database
Functional: PBE
Structure: optimized geometry

Lattice parameters (Å, degrees): 11.8015 25.7518 3.2074 90.00 90.00 90.00
Space group Fdd2 (No. 43)
Symmetry-distinct sites (fractional):
Pb 0.1103 0.1692 0.0000 x16
Au 0.0000 0.0000 0.2417 x8
Au 0.1018 0.3095 0.9888 x16

Computed properties:
Uncorrected energy in eV/cell: -138.8
Polymorph energy (0 for the lowest one) in eV/atom: 0.049

# 20
Compound: PmZn9Ag2
Source: the Alexandria database
Functional: PBE
Structure: optimized geometry

Lattice parameters (Å, degrees): 8.8388 8.8388 3.0731 90.00 90.00 120.00
Space group P6/mmm (No. 191)
Symmetry-distinct sites (fractional):
Pm 0.0000 0.0000 0.0000 x1
Zn 0.0000 0.5000 0.0000 x3
Zn 0.1816 0.3632 0.5000 x6
Ag 0.3333 0.6667 0.0000 x2

Computed properties:
Uncorrected energy in eV/cell: -22.8
Polymorph energy (0 for the lowest one) in eV/atom: 0.073

# 21
Compound: LaPmSnPd
Source: the Alexandria database
Functional: PBE
Structure: optimized geometry

Lattice parameters (Å, degrees): 7.5896 7.5896 7.5896 90.00 90.00 90.00
Space group F-43m (No. 216)
Symmetry-distinct sites (fractional):
La 0.0000 0.0000 0.0000 x4
Pm 0.0000 0.0000 0.5000 x4
Sn 0.2500 0.2500 0.7500 x4
Pd 0.2500 0.2500 0.2500 x4

Computed properties:
Uncorrected energy in eV/cell: -86.6

# 22
Compound: TaBe3
Source: the Alexandria database
Functional: PBE
Structure: optimized geometry

Lattice parameters (Å, degrees): 2.6869 2.6869 6.0228 90.00 90.00 90.00
Space group P4/mmm (No. 123)
Symmetry-distinct sites (fractional):
Ta 0.0000 0.0000 0.0000 x1
Be 0.0000 0.0000 0.5000 x1
Be 0.5000 0.5000 0.3065 x2

Computed properties:
Uncorrected energy in eV/cell: -23.1

# 23
Compound: La16Tb6Dy7
Source: the Alexandria database
Functional: PBE
Structure: optimized geometry

Lattice parameters (Å, degrees): 16.2270 16.2270 16.2270 90.00 90.00 90.00
Space group Fm-3m (No. 225)
Symmetry-distinct sites (fractional):
La 0.1254 0.1254 0.1254 x32
La 0.1490 0.1490 0.3510 x32
Tb 0.0000 0.0000 0.2610 x24
Dy 0.0000 0.0000 0.0000 x4
Dy 0.0000 0.2500 0.2500 x24

Computed properties:
Uncorrected energy in eV/cell: -533.2

# 24
Compound: SmErTe
Source: the Alexandria database
Functional: PBE
Structure: optimized geometry

Lattice parameters (Å, degrees): 3.8909 3.8909 11.6498 90.00 90.00 90.00
Space group I4mm (No. 107)
Symmetry-distinct sites (fractional):
Sm 0.0000 0.0000 0.0000 x2
Er 0.0000 0.0000 0.3108 x2
Te 0.0000 0.0000 0.6658 x2

Computed properties:
Uncorrected energy in eV/cell: -29.5
Polymorph energy (0 for the lowest one) in eV/atom: 0.000